La2MnOs | PBE | relaxed

Unit cell a=8.202 b=8.202 c=8.202 alpha=29.18 beta=29.18 gamma=29.18
Last column: magnetic moment on the atom in μB.
Sites, in units of the cell vectors:
1 La 0.484 0.484 0.484  -0.06
2 La 0.016 0.016 0.016  -0.06
3 Os 0.750 0.750 0.750  0.10
4 Mn 0.250 0.250 0.250  4.00

Results
Total energy, eV per atom: -7.137
E_form, meV per atom: 426.7
Offset from the most stable computed form, meV per atom: 433

Tl5Ge3Cl12 | PBE | relaxed

Unit cell a=15.894 b=15.894 c=15.894 alpha=109.47 beta=109.47 gamma=109.47
Sites, in units of the cell vectors:
1 Ge 0.375 0.750 0.625
2 Ge 0.250 0.625 0.875
3 Ge 0.625 0.250 0.375
4 Ge 0.375 0.625 0.250
5 Ge 0.125 0.875 0.750
6 Ge 0.250 0.125 0.375
7 Ge 0.750 0.875 0.625
8 Ge 0.625 0.375 0.750
9 Ge 0.750 0.375 0.125
10 Ge 0.125 0.250 0.875
11 Ge 0.875 0.750 0.125
12 Ge 0.875 0.125 0.250
13 Cl 0.371 0.877 0.565
14 Cl 0.006 0.312 0.377
15 Cl 0.694 0.688 0.565
16 Cl 0.877 0.371 0.065
17 Cl 0.565 0.377 0.371
18 Cl 0.629 0.506 0.694
19 Cl 0.935 0.806 0.312
20 Cl 0.377 0.812 0.006
21 Cl 0.435 0.812 0.306
22 Cl 0.506 0.877 0.812
23 Cl 0.694 0.006 0.629
24 Cl 0.312 0.006 0.877
25 Cl 0.935 0.129 0.123
26 Cl 0.688 0.994 0.123
27 Cl 0.871 0.065 0.377
28 Cl 0.629 0.123 0.435
29 Cl 0.623 0.188 0.994
30 Cl 0.623 0.435 0.129
31 Cl 0.806 0.935 0.812
32 Cl 0.494 0.123 0.188
33 Cl 0.994 0.688 0.623
34 Cl 0.494 0.371 0.806
35 Cl 0.006 0.694 0.129
36 Cl 0.194 0.129 0.506
37 Cl 0.194 0.065 0.188
38 Cl 0.871 0.806 0.994
39 Cl 0.688 0.694 0.065
40 Cl 0.812 0.377 0.506
41 Cl 0.188 0.565 0.194
42 Cl 0.306 0.312 0.435
43 Cl 0.812 0.435 0.806
44 Cl 0.565 0.188 0.694
45 Cl 0.065 0.871 0.877
46 Cl 0.129 0.194 0.006
47 Cl 0.306 0.994 0.371
48 Cl 0.312 0.306 0.935
49 Cl 0.877 0.506 0.312
50 Cl 0.188 0.623 0.494
51 Cl 0.994 0.306 0.871
52 Cl 0.129 0.935 0.623
53 Cl 0.377 0.565 0.871
54 Cl 0.371 0.494 0.306
55 Cl 0.123 0.629 0.935
56 Cl 0.506 0.629 0.194
57 Cl 0.123 0.494 0.688
58 Cl 0.435 0.623 0.629
59 Cl 0.065 0.194 0.688
60 Cl 0.806 0.871 0.494
61 Tl 0.250 0.875 0.125
62 Tl 0.375 0.250 0.125
63 Tl 0.125 0.375 0.250
64 Tl 0.875 0.625 0.750
65 Tl 0.375 0.125 0.750
66 Tl 0.000 0.000 0.000
67 Tl 0.000 0.500 0.000
68 Tl 0.500 0.000 0.000
69 Tl 0.500 0.000 0.500
70 Tl 0.250 0.375 0.625
71 Tl 0.750 0.625 0.375
72 Tl 0.625 0.875 0.250
73 Tl 0.125 0.750 0.375
74 Tl 0.500 0.500 0.500
75 Tl 0.625 0.750 0.875
76 Tl 0.750 0.125 0.875
77 Tl 0.875 0.250 0.625
78 Tl 0.000 0.500 0.500
79 Tl 0.000 0.000 0.500
80 Tl 0.500 0.500 0.000

Results
Total energy, eV per atom: -3.181
E_form (uncorrected), eV per atom: -0.789